The following is a GGA-PBEsol calculation of a relaxed Ba2BiBPd crystal, from the Alexandria database.

```
Ba2BiBPd
1.0
6.183 0.000 0.000
0.000 6.183 0.000
0.000 0.000 4.054
Ba Bi B Pd
2 1 1 1
direct
0.000 0.500 0.000
0.500 0.000 0.000
0.000 0.000 0.500
0.500 0.500 0.500
0.500 0.500 0.000
```

VASP energy	-22.5	eV/f.u.
D(E_F)	2.35	states/eV/cell
space group	P4/mmm, No. 123
formation energy	-0.20	eV/atom

The following is a GGA-PBEsol calculation of a relaxed Ba2BBr crystal, from the Alexandria database.

```
Ba2BBr
1.0
0.000 3.866 3.866
3.866 0.000 3.866
3.866 3.866 0.000
Ba B Br
2 1 1
direct
0.250 0.250 0.250
0.750 0.750 0.750
0.000 0.000 0.000
0.500 0.500 0.500
```

VASP energy	-13.8	eV/f.u.
D(E_F)	2.52	states/eV/cell
formation energy from raw total energies	-164	meV per atom
space group	Fm-3m, No. 225

The following is a GGA-PBEsol calculation of a relaxed Ba4NaGa2B8Br3O18 crystal, from the Alexandria database.

```
Ba4NaGa2B8Br3O18
1.0
12.229 0.000 0.000
0.000 12.229 0.000
0.000 0.000 6.887
Ba Na Ga B Br O
8 2 4 16 6 36
direct
0.019 0.274 0.000
0.226 0.519 0.500
0.274 0.019 0.000
0.481 0.774 0.500
0.519 0.226 0.500
0.726 0.981 0.000
0.774 0.481 0.500
0.981 0.726 0.000
0.000 0.000 0.336
0.500 0.500 0.836
0.205 0.205 0.504
0.295 0.705 0.004
0.705 0.295 0.004
0.795 0.795 0.504
0.033 0.768 0.541
0.180 0.820 0.303
0.231 0.769 0.629
0.232 0.967 0.541
0.268 0.467 0.041
0.269 0.269 0.129
0.320 0.320 0.803
0.467 0.268 0.041
0.533 0.732 0.041
0.680 0.680 0.803
0.731 0.731 0.129
0.732 0.533 0.041
0.768 0.033 0.541
0.769 0.231 0.629
0.820 0.180 0.303
0.967 0.232 0.541
0.000 0.000 0.921
0.000 0.500 0.268
0.000 0.500 0.768
0.500 0.000 0.268
0.500 0.000 0.768
0.500 0.500 0.421
0.059 0.802 0.354
0.071 0.241 0.607
0.114 0.745 0.674
0.194 0.806 0.097
0.197 0.197 0.238
0.198 0.941 0.354
0.241 0.071 0.607
0.245 0.386 0.174
0.250 0.250 0.921
0.250 0.750 0.421
0.255 0.886 0.674
0.259 0.571 0.107
0.302 0.441 0.854
0.303 0.697 0.738
0.306 0.306 0.597
0.386 0.245 0.174
0.429 0.741 0.107
0.441 0.302 0.854
0.559 0.698 0.854
0.571 0.259 0.107
0.614 0.755 0.174
0.694 0.694 0.597
0.697 0.303 0.738
0.698 0.559 0.854
0.741 0.429 0.107
0.745 0.114 0.674
0.750 0.250 0.421
0.750 0.750 0.921
0.755 0.614 0.174
0.759 0.929 0.607
0.802 0.059 0.354
0.803 0.803 0.238
0.806 0.194 0.097
0.886 0.255 0.674
0.929 0.759 0.607
0.941 0.198 0.354
```

VASP energy	-263.0	eV/f.u.
D(E_F)	0.00	states/eV/cell
formation energy from raw total energies	-2502	meV per atom
space group	P4_2nm, No. 102

The following is a GGA-PBEsol calculation of a relaxed Ba5B3BrO9 crystal, from the Alexandria database.

```
Ba5B3BrO9
1.0
5.256 -7.423 0.000
5.256 7.423 0.000
0.000 0.000 7.994
Ba B Br O
10 6 2 18
direct
0.137 0.863 0.750
0.140 0.860 0.250
0.231 0.493 0.065
0.259 0.259 0.500
0.493 0.231 0.935
0.507 0.769 0.435
0.741 0.741 0.000
0.769 0.507 0.565
0.860 0.140 0.750
0.863 0.137 0.250
0.098 0.517 0.470
0.125 0.125 0.000
0.483 0.902 0.030
0.517 0.098 0.530
0.875 0.875 0.500
0.902 0.483 0.970
0.447 0.553 0.750
0.553 0.447 0.250
0.007 0.631 0.011
0.008 0.008 0.500
0.067 0.652 0.514
0.188 0.188 0.153
0.188 0.188 0.847
0.233 0.529 0.382
0.348 0.933 0.986
0.369 0.993 0.489
0.471 0.767 0.118
0.529 0.233 0.618
0.631 0.007 0.989
0.652 0.067 0.486
0.767 0.471 0.882
0.812 0.812 0.347
0.812 0.812 0.653
0.933 0.348 0.014
0.992 0.992 0.000
0.993 0.369 0.511
```

VASP energy	-130.6	eV/f.u.
D(E_F)	0.00	states/eV/cell
formation energy from raw total energies	-2762	meV per atom
space group	C222_1, No. 20

The following is a GGA-PBEsol calculation of a relaxed Ba3BBr3O3 crystal, from the Alexandria database.

```
Ba3BBr3O3
1.0
9.267 0.000 0.000
-4.146 8.310 0.000
-0.488 -2.455 12.645
Ba B Br O
12 4 12 12
direct
0.007 0.175 0.264
0.009 0.645 0.395
0.042 0.270 0.923
0.422 0.244 0.518
0.471 0.619 0.750
0.489 0.165 0.857
0.511 0.835 0.143
0.529 0.381 0.250
0.578 0.756 0.482
0.958 0.730 0.077
0.991 0.355 0.605
0.993 0.825 0.736
0.242 0.424 0.448
0.259 0.263 0.758
0.741 0.737 0.242
0.758 0.576 0.552
0.000 0.000 0.500
0.146 0.522 0.156
0.209 0.119 0.072
0.264 0.949 0.287
0.288 0.793 0.911
0.315 0.871 0.605
0.500 0.500 0.000
0.685 0.129 0.395
0.712 0.207 0.089
0.736 0.051 0.713
0.791 0.881 0.928
0.854 0.478 0.844
0.095 0.424 0.423
0.186 0.366 0.760
0.193 0.129 0.807
0.302 0.349 0.372
0.323 0.488 0.549
0.408 0.305 0.719
0.592 0.695 0.281
0.677 0.512 0.451
0.698 0.651 0.628
0.807 0.871 0.193
0.814 0.634 0.240
0.905 0.576 0.577
```

VASP energy	-60.4	eV/f.u.
D(E_F)	0.00	states/eV/cell
formation energy from raw total energies	-2554	meV per atom
space group	P-1, No. 2

The following is a GGA-PBEsol calculation of a relaxed BaB2PBr crystal, from the Alexandria database.

```
BaB2PBr
1.0
4.534 0.000 0.000
0.000 4.534 0.000
0.000 0.000 5.147
Ba B P Br
1 2 1 1
direct
0.000 0.000 0.000
0.000 0.500 0.500
0.500 0.000 0.500
0.500 0.500 0.000
0.500 0.500 0.500
```

VASP energy	-16.8	eV/f.u.
D(E_F)	2.07	states/eV/cell
formation energy from raw total energies	1416	meV per atom
space group	P4/mmm, No. 123

The following is a GGA-PBEsol calculation of a relaxed BaTlBBr2 crystal, from the Alexandria database.

```
BaTlBBr2
1.0
6.034 0.000 0.000
0.000 6.034 0.000
0.000 0.000 7.385
Ba Tl B Br
1 1 1 2
direct
0.000 0.000 0.000
0.000 0.000 0.500
0.500 0.500 0.500
0.000 0.500 0.000
0.500 0.000 0.000
```

VASP energy	-13.2	eV/f.u.
D(E_F)	3.73	states/eV/cell
formation energy from raw total energies	462	meV per atom
space group	P4/mmm, No. 123

The following is a GGA-PBEsol calculation of a relaxed BaCa2CoB crystal, from the Alexandria database.

```
BaCa2CoB
1.0
5.289 0.000 0.000
0.000 5.289 0.000
0.000 0.000 4.122
Ba Ca Co B
1 2 1 1
direct
0.000 0.000 0.000
0.000 0.500 0.500
0.500 0.000 0.500
0.500 0.500 0.500
0.500 0.500 0.000
```

VASP energy	-19.1	eV/f.u.
D(E_F)	3.31	states/eV/cell
space group	P4/mmm, No. 123
formation energy	0.42	eV/atom

The following is a GGA-PBEsol calculation of a relaxed BaCaBO3F crystal, from the Alexandria database.

```
BaCaBO3F
1.0
4.402 0.000 0.000
0.093 8.732 0.000
0.039 4.320 7.934
Ba Ca B O F
3 3 3 9 3
direct
0.000 0.000 0.000
0.004 0.305 0.395
0.066 0.730 0.699
0.501 0.017 0.309
0.503 0.628 0.087
0.556 0.395 0.697
0.516 0.348 0.023
0.518 0.675 0.372
0.528 0.022 0.698
0.418 0.037 0.548
0.431 0.886 0.849
0.506 0.203 0.998
0.509 0.506 0.396
0.512 0.326 0.187
0.512 0.815 0.209
0.532 0.516 0.887
0.534 0.707 0.509
0.735 0.141 0.696
0.002 0.639 0.083
0.055 0.424 0.693
0.999 0.028 0.307
```

VASP energy	-50.7	eV/f.u.
D(E_F)	0.00	states/eV/cell
formation energy from raw total energies	-3106	meV per atom
space group	P1, No. 1

The following is a GGA-PBEsol calculation of a relaxed BaCaBH2 crystal, from the Alexandria database.

```
BaCaBH2
1.0
4.189 0.000 0.000
0.000 4.189 0.000
0.000 0.000 11.320
Ba Ca B H
1 1 1 2
direct
0.000 0.000 0.000
0.000 0.000 0.500
0.500 0.500 0.000
0.000 0.500 0.500
0.500 0.000 0.500
```

VASP energy	-14.4	eV/f.u.
D(E_F)	2.33	states/eV/cell
space group	P4/mmm, No. 123

The following is a GGA-PBEsol calculation of a relaxed BaCaB2O5 crystal, from the Alexandria database.

```
BaCaB2O5
1.0
6.541 0.000 0.000
0.000 20.554 0.000
-3.715 0.000 7.314
Ba Ca B O
8 8 16 40
direct
0.009 0.221 0.271
0.009 0.279 0.771
0.476 0.031 0.238
0.476 0.469 0.738
0.524 0.531 0.262
0.524 0.969 0.762
0.991 0.721 0.229
0.991 0.779 0.729
0.011 0.585 0.769
0.011 0.915 0.269
0.495 0.163 0.749
0.495 0.337 0.249
0.505 0.663 0.751
0.505 0.837 0.251
0.989 0.085 0.731
0.989 0.415 0.231
0.135 0.558 0.426
0.135 0.942 0.926
0.145 0.066 0.407
0.145 0.434 0.907
0.347 0.691 0.084
0.347 0.809 0.584
0.372 0.188 0.083
0.372 0.312 0.583
0.628 0.688 0.417
0.628 0.812 0.917
0.653 0.191 0.416
0.653 0.309 0.916
0.855 0.566 0.093
0.855 0.934 0.593
0.865 0.058 0.074
0.865 0.442 0.574
0.049 0.091 0.221
0.049 0.409 0.721
0.159 0.109 0.537
0.159 0.391 0.037
0.220 0.503 0.387
0.220 0.584 0.598
0.220 0.916 0.098
0.220 0.997 0.887
0.229 0.004 0.433
0.229 0.496 0.933
0.273 0.746 0.576
0.273 0.754 0.076
0.282 0.244 0.110
0.282 0.256 0.610
0.290 0.155 0.922
0.290 0.345 0.422
0.322 0.655 0.938
0.322 0.845 0.438
0.439 0.660 0.261
0.439 0.840 0.761
0.561 0.160 0.239
0.561 0.340 0.739
0.678 0.155 0.562
0.678 0.345 0.062
0.710 0.655 0.578
0.710 0.845 0.078
0.718 0.744 0.390
0.718 0.756 0.890
0.727 0.246 0.924
0.727 0.254 0.424
0.771 0.504 0.067
0.771 0.996 0.567
0.780 0.003 0.113
0.780 0.084 0.902
0.780 0.416 0.402
0.780 0.497 0.613
0.841 0.609 0.963
0.841 0.891 0.463
0.951 0.591 0.279
0.951 0.909 0.779
```

VASP energy	-70.0	eV/f.u.
D(E_F)	0.00	states/eV/cell
formation energy from raw total energies	-2827	meV per atom
space group	P2_1/c, No. 14

The following is a GGA-PBEsol calculation of a relaxed BaCaB2Pd crystal, from the Alexandria database.

```
BaCaB2Pd
1.0
4.365 0.000 0.000
0.000 4.365 0.000
0.000 0.000 5.031
Ba Ca B Pd
1 1 2 1
direct
0.000 0.000 0.000
0.500 0.500 0.000
0.000 0.500 0.500
0.500 0.000 0.500
0.500 0.500 0.500
```

VASP energy	-21.3	eV/f.u.
D(E_F)	2.28	states/eV/cell
space group	P4/mmm, No. 123
formation energy	0.59	eV/atom

The following is a GGA-PBEsol calculation of a relaxed BaSr2CaB crystal, from the Alexandria database.

```
BaSr2CaB
1.0
6.567 0.000 0.000
0.000 6.567 0.000
0.000 0.000 4.812
Ba Sr Ca B
1 2 1 1
direct
0.000 0.000 0.000
0.000 0.500 0.000
0.500 0.000 0.000
0.500 0.500 0.500
0.000 0.000 0.500
```

VASP energy	-9.6	eV/f.u.
D(E_F)	6.89	states/eV/cell
space group	P4/mmm, No. 123
formation energy	1.08	eV/atom

The following is a GGA-PBEsol calculation of a relaxed BaCrCd2B crystal, from the Alexandria database.

```
BaCrCd2B
1.0
6.054 0.000 0.000
0.000 6.054 0.000
0.000 0.000 4.836
Ba Cr Cd B
1 1 2 1
direct
0.000 0.000 0.000
0.500 0.500 0.500
0.000 0.500 0.000
0.500 0.000 0.000
0.000 0.000 0.500
```

VASP energy	-12.1	eV/f.u.
D(E_F)	3.12	states/eV/cell
space group	P4/mmm, No. 123
formation energy	1.95	eV/atom

The following is a GGA-PBEsol calculation of a relaxed BaNbCdB2 crystal, from the Alexandria database.

```
BaNbCdB2
1.0
4.689 0.000 0.000
0.000 4.689 0.000
0.000 0.000 5.440
Ba Nb Cd B
1 1 1 2
direct
0.000 0.000 0.000
0.000 0.000 0.500
0.500 0.500 0.500
0.000 0.500 0.000
0.500 0.000 0.000
```

VASP energy	-14.4	eV/f.u.
D(E_F)	3.98	states/eV/cell
space group	P4/mmm, No. 123
formation energy	2.77	eV/atom

The following is a GGA-PBEsol calculation of a relaxed Ba2CdB2O6 crystal, from the Alexandria database.

```
Ba2CdB2O6
1.0
4.855 -2.679 0.000
4.855 2.679 0.000
-3.146 0.000 5.733
Ba Cd B O
2 1 2 6
direct
0.210 0.210 0.189
0.790 0.790 0.811
0.000 0.000 0.500
0.441 0.441 0.742
0.559 0.559 0.258
0.252 0.699 0.223
0.282 0.282 0.670
0.301 0.748 0.777
0.699 0.252 0.223
0.718 0.718 0.330
0.748 0.301 0.777
```

VASP energy	-78.1	eV/f.u.
D(E_F)	0.00	states/eV/cell
formation energy from raw total energies	-2461	meV per atom
space group	C2/m, No. 12